The following is a DFT calculation (GGA+U) of a geometry-optimized CaCrH2O structure.

a = 3.624 Å, b = 3.624 Å, c = 4.086 Å
α = 90.00°, β = 90.00°, γ = 90.00°
Sites, in units of the cell vectors:
1 Ca 0.500 0.500 0.500
2 H 0.500 0.000 0.000
3 H 0.000 0.500 0.000
4 O 0.000 0.000 0.500
5 Cr 0.000 0.000 0.000

Results
The value obtained for the density of states at the Fermi level is 0.34 states/eV/cell. The total DFT energy (no corrections) is -5.278 eV/atom. Its crystal system is tetragonal.